Entry 1:
Compound: LaAl2
Source: Alexandria via LeMat-Bulk
Functional: GGA-PBEsol
Structure: relaxed

Structure (POSCAR):
```
LaAl2
1.0
4.3775 0.0000 0.0000
0.0000 4.3775 0.0000
-2.1887 -2.1887 7.7606
Al La
4 2
Direct
0.8326 0.3326 0.6653
0.4174 0.4174 0.8347
0.6674 0.1674 0.3347
0.5826 0.5826 0.1653
0.2500 0.7500 0.5000
0.0000 0.0000 0.0000
```

Computed properties:
Energy relative to the elements   -0.41 eV/atom
Symmetry   I4_1/amd (141)
VASP energy   -4.924 eV per atom

***

Entry 2:
Compound: LaAl2
Source: Alexandria via LeMat-Bulk
Functional: GGA-PBEsol
Structure: relaxed

Structure (POSCAR):
```
LaAl2
1.0
3.1115 0.0000 0.0000
0.0000 5.5588 0.0000
0.0000 0.0000 8.2802
Al La
4 2
Direct
0.2119 0.0000 0.6391
0.7881 0.0000 0.3609
0.7119 0.5000 0.8609
0.2881 0.5000 0.1391
0.0000 0.0000 0.0000
0.5000 0.5000 0.5000
```

Computed properties:
Energy relative to the elements   0.10 eV/atom
Symmetry   Pnnm (58)
VASP energy   -4.410 eV per atom

***

Entry 3:
Compound: La5Al
Source: Alexandria via LeMat-Bulk
Functional: GGA-PBEsol
Structure: relaxed

Structure (POSCAR):
```
La5Al
1.0
5.6633 0.0000 0.0000
0.0000 6.0750 0.0000
0.0000 -3.0375 5.2611
Al La
1 5
Direct
0.5000 0.0000 0.0000
0.0000 0.3055 0.3055
0.0000 0.6945 0.0000
0.0000 0.0000 0.6945
0.5000 0.3333 0.6667
0.5000 0.6667 0.3333
```

Computed properties:
Energy relative to the elements   -0.09 eV/atom
Symmetry   P-62m (189)
VASP energy   -5.222 eV per atom

***

Entry 4:
Compound: La3Al
Source: Alexandria via LeMat-Bulk
Functional: GGA-PBEsol
Structure: relaxed

Structure (POSCAR):
```
La3Al
1.0
3.5624 0.0000 0.0000
0.0000 5.4880 0.0000
0.0000 0.0000 5.9302
Al La
1 3
Direct
0.0000 0.0000 0.9954
0.5000 0.0000 0.4782
0.5000 0.5000 0.8764
0.0000 0.5000 0.3166
```

Computed properties:
Energy relative to the elements   -0.13 eV/atom
Symmetry   Pmm2 (25)
VASP energy   -5.161 eV per atom

***

Entry 5:
Compound: La2Al3
Source: Alexandria via LeMat-Bulk
Functional: GGA-PBEsol
Structure: relaxed

Structure (POSCAR):
```
La2Al3
1.0
4.4455 0.0000 0.0000
2.2227 3.8499 0.0000
2.2227 1.2833 7.9440
Al La
3 2
Direct
0.0000 0.0000 0.0000
0.1598 0.1598 0.5205
0.8402 0.8402 0.4795
0.5878 0.5878 0.2365
0.4122 0.4122 0.7635
```

Computed properties:
Energy relative to the elements   -0.24 eV/atom
Symmetry   R-3m (166)
VASP energy   -4.834 eV per atom

***

Entry 6:
Compound: LaAl
Source: Alexandria via LeMat-Bulk
Functional: GGA-PBEsol
Structure: relaxed

Structure (POSCAR):
```
LaAl
1.0
4.0563 0.0000 0.0000
0.0000 4.9508 0.0000
-2.0282 -2.4754 5.1035
Al La
2 2
Direct
0.3333 0.5833 0.6665
0.6667 0.4167 0.3335
0.8924 0.1424 0.7847
0.1076 0.8576 0.2153
```

Computed properties:
Energy relative to the elements   -0.38 eV/atom
Symmetry   Imma (74)
VASP energy   -5.101 eV per atom